No. 1
DFT (SCAN) results for a crystal of TaPBr2 relaxed with PBEsol.

Results
As for the polymorph energy (0 for the lowest one): 1062.3 meV/atom. The value obtained for the size of the total moment is 0.0 μB per formula unit. The calculation puts the total energy at -28.129 eV per atom.

Geometry as CIF:
```
data_TaPBr2
_chemical_formula_sum 'Ta1 P1 Br2'
_cell_length_a 3.088
_cell_length_b 4.579
_cell_length_c 5.214
_cell_angle_alpha 90.00
_cell_angle_beta 90.00
_cell_angle_gamma 90.00
_symmetry_space_group_name_H-M 'P m m m'
_symmetry_Int_Tables_number 47
_symmetry_space_group_name_Hall '-P 2 2'
loop_
_atom_site_label
_atom_site_type_symbol
_atom_site_fract_x
_atom_site_fract_y
_atom_site_fract_z
_atom_site_occupancy
Ta1 Ta 0.000 0.000 0.000 1
P1 P 0.500 0.000 0.500 1
Br1 Br 0.000 0.500 0.500 1
Br2 Br 0.500 0.500 0.000 1
```



No. 2
DFT (SCAN) results for a crystal of KSrTc4 relaxed with PBEsol.

Results
The calculated formation energy is 5.80 eV/f.u. The value obtained for the size of the total moment is 0.0 μB per formula unit. The calculation puts the total energy at -27.508 eV per atom.

Geometry as CIF:
```
data_KSrTc4
_chemical_formula_sum 'K4 Sr4 Tc16'
_cell_length_a 7.671
_cell_length_b 7.671
_cell_length_c 7.671
_cell_angle_alpha 90.00
_cell_angle_beta 90.00
_cell_angle_gamma 90.00
_symmetry_space_group_name_H-M 'F -4 3 m'
_symmetry_Int_Tables_number 216
_symmetry_space_group_name_Hall 'F -4 2 3'
loop_
_atom_site_label
_atom_site_type_symbol
_atom_site_fract_x
_atom_site_fract_y
_atom_site_fract_z
_atom_site_occupancy
K1 K 0.000 0.000 0.000 1
Sr1 Sr 0.250 0.250 0.250 1
Tc1 Tc 0.125 0.125 0.625 1
```



No. 3
DFT (SCAN) results for a crystal of BaYCuBiO5 relaxed with PBEsol.

Results
The value obtained for the size of the total moment is 0.0 μB per formula unit. The calculation puts the total energy at -23.537 eV per atom.

Geometry as CIF:
```
data_BaYCuBiO5
_chemical_formula_sum 'Ba1 Y1 Cu1 Bi1 O5'
_cell_length_a 3.877
_cell_length_b 3.877
_cell_length_c 9.108
_cell_angle_alpha 90.00
_cell_angle_beta 90.00
_cell_angle_gamma 90.00
_symmetry_space_group_name_H-M 'P 4 m m'
_symmetry_Int_Tables_number 99
_symmetry_space_group_name_Hall 'P 4 -2'
loop_
_atom_site_label
_atom_site_type_symbol
_atom_site_fract_x
_atom_site_fract_y
_atom_site_fract_z
_atom_site_occupancy
Ba1 Ba 0.000 0.000 0.000 1
Y1 Y 0.000 0.000 0.391 1
Cu1 Cu 0.500 0.500 0.211 1
Bi1 Bi 0.500 0.500 0.659 1
O1 O 0.000 0.500 0.229 1
O2 O 0.000 0.500 0.535 1
O3 O 0.500 0.500 0.920 1
```



No. 4
DFT (SCAN) results for a crystal of BaTeI2N relaxed with PBEsol.

Results
The value obtained for the size of the total moment is 0.3 μB per formula unit. The calculation puts the total energy at -32.122 eV per atom.

Geometry as CIF:
```
data_BaTeI2N
_chemical_formula_sum 'Ba1 Te1 I2 N1'
_cell_length_a 6.352
_cell_length_b 6.352
_cell_length_c 4.085
_cell_angle_alpha 90.00
_cell_angle_beta 90.00
_cell_angle_gamma 90.00
_symmetry_space_group_name_H-M 'P 4/m m m'
_symmetry_Int_Tables_number 123
_symmetry_space_group_name_Hall '-P 4 2'
loop_
_atom_site_label
_atom_site_type_symbol
_atom_site_fract_x
_atom_site_fract_y
_atom_site_fract_z
_atom_site_occupancy
Ba1 Ba 0.000 0.000 0.000 1
Te1 Te 0.500 0.500 0.500 1
I1 I 0.000 0.500 0.500 1
N1 N 0.500 0.500 0.000 1
```